# 1
First-principles (PBE) data for a geometry-optimized Cs2NaPtI6 structure, as listed in Alexandria via LeMat-Bulk.

It has space group R-3m (No. 166, hexagonal axes), with a = 8.2145 Å, b = 8.2145 Å, c = 44.2018 Å, α = 90.00°, β = 90.00° and γ = 120.00°. The asymmetric unit holds Cs at (0.0000, 0.0000, 0.1226), Cs at (0.0000, 0.0000, 0.2993), Na at (0.0000, 0.0000, 0.4171), Pt at (0.0000, 0.0000, 0.0000), Pt at (0.0000, 0.0000, 0.5000), I at (0.0087, 0.5044, 0.1315) and I at (0.0147, 0.5073, 0.7032).

Its size of the total moment is 0.00 μB per atom. Its total energy is -2.72 eV/atom. The value obtained for the formation energy from raw total energies is -0.88 eV per atom. Its energy above the most stable polymorph in this dataset is 0.0 meV/atom.

# 2
First-principles (PBE) data for a geometry-optimized Cs2NaPtI structure, as listed in Alexandria via LeMat-Bulk.

It has space group P4/mmm (No. 123), with a = 6.685 Å, b = 6.685 Å, c = 5.474 Å, α = 90.00°, β = 90.00° and γ = 90.00°. The asymmetric unit holds Cs at (0.000, 0.500, 0.000), Na at (0.000, 0.000, 0.500), Pt at (0.000, 0.000, 0.000) and I at (0.500, 0.500, 0.500).

Its size of the total moment is 0.00 μB per atom. Its total energy is -2.65 eV/atom. The value obtained for the formation energy from raw total energies is -0.53 eV per atom.

# 3
First-principles (PBE) data for a geometry-optimized CsNaPtI6 structure, as listed in Alexandria via LeMat-Bulk.

It has space group P312 (No. 149), with a = 7.8594 Å, b = 7.8594 Å, c = 8.3559 Å, α = 90.00°, β = 90.00° and γ = 120.00°. The asymmetric unit holds Cs at (0.0000, 0.0000, 0.0000), Na at (0.3333, 0.6667, 0.5000), Pt at (0.6667, 0.3333, 0.5000) and I at (0.3920, 0.0473, 0.6890).

Its size of the total moment is 0.00 μB per atom. Its total energy is -2.60 eV/atom. The value obtained for the formation energy from raw total energies is -0.66 eV per atom.